Record 1
Material: Ba3Sr2Tl4
Method: DFT, PBE-GGA
State: relaxed

Values from the calculation:
The formation energy comes out at -3.290 eV per formula unit. Its magnetic moment is 0.00 μB/cell. The value obtained for the total energy is -2.43 eV/atom. The density of states at the Fermi level comes out at 10.05 states/eV/cell.

Lattice parameters (Å, degrees): 10.336 5.980 11.478 90.00 90.09 90.00
Space group C2/m (No. 12)
Unique sites:
Ba 0.000 0.000 0.000 (multiplicity 2)
Ba 0.167 0.500 0.409 (multiplicity 4)
Sr 0.167 0.500 0.797 (multiplicity 4)
Tl 0.000 0.000 0.332 (multiplicity 4)
Tl 0.166 0.500 0.106 (multiplicity 4)

---

Record 2
Material: BaSr3Tl
Method: DFT, PBE-GGA
State: relaxed

Values from the calculation:
The formation energy comes out at 3.702 eV per formula unit. Its magnetic moment is 3.00 μB/cell. The value obtained for the total energy is -1.13 eV/atom. The density of states at the Fermi level comes out at 3.24 states/eV/cell.

Lattice parameters (Å, degrees): 6.706 6.706 6.706 90.00 90.00 90.00
Space group Pm-3m (No. 221)
Unique sites:
Ba 0.000 0.000 0.000 (multiplicity 1)
Sr 0.000 0.000 0.500 (multiplicity 3)
Tl 0.500 0.500 0.500 (multiplicity 1)

---

Record 3
Material: BaSr4Tl15
Method: DFT, PBE-GGA
State: relaxed

Values from the calculation:
The formation energy comes out at -5.091 eV per formula unit. Its magnetic moment is 0.00 μB/cell. The value obtained for the total energy is -2.46 eV/atom. The density of states at the Fermi level comes out at 16.08 states/eV/cell.

Lattice parameters (Å, degrees): 5.020 5.020 25.177 90.00 90.00 90.00
Space group P4/mmm (No. 123)
Unique sites:
Ba 0.000 0.000 0.000 (multiplicity 1)
Sr 0.000 0.000 0.204 (multiplicity 2)
Sr 0.000 0.000 0.401 (multiplicity 2)
Tl 0.000 0.500 0.104 (multiplicity 4)
Tl 0.000 0.500 0.302 (multiplicity 4)
Tl 0.000 0.500 0.500 (multiplicity 2)
Tl 0.500 0.500 0.000 (multiplicity 1)
Tl 0.500 0.500 0.202 (multiplicity 2)
Tl 0.500 0.500 0.402 (multiplicity 2)

---

Record 4
Material: Ba4SrTl
Method: DFT, PBE-GGA
State: relaxed

Values from the calculation:
The formation energy comes out at 1.313 eV per formula unit. Its magnetic moment is 0.00 μB/cell. The value obtained for the total energy is -1.74 eV/atom. The density of states at the Fermi level comes out at 41.66 states/eV/cell.

Lattice parameters (Å, degrees): 10.992 10.992 10.992 90.00 90.00 90.00
Space group F-43m (No. 216)
Unique sites:
Ba 0.124 0.124 0.376 (multiplicity 16)
Sr 0.000 0.000 0.000 (multiplicity 4)
Tl 0.250 0.250 0.750 (multiplicity 4)

---

Record 5
Material: BaSr2Tl
Method: DFT, PBE-GGA
State: relaxed

Values from the calculation:
The formation energy comes out at -0.432 eV per formula unit. Its magnetic moment is 0.00 μB/cell. The value obtained for the total energy is -2.02 eV/atom. The density of states at the Fermi level comes out at 6.48 states/eV/cell.

Lattice parameters (Å, degrees): 4.325 5.671 7.782 90.00 103.70 90.00
Space group P2/m (No. 10)
Unique sites:
Ba 0.000 0.000 0.000 (multiplicity 1)
Sr 0.374 0.500 0.714 (multiplicity 2)
Tl 0.000 0.000 0.500 (multiplicity 1)

---

Record 6
Material: Ba4SrTl
Method: DFT, PBE-GGA
State: relaxed

Values from the calculation:
The formation energy comes out at -0.580 eV per formula unit. Its magnetic moment is 0.00 μB/cell. The value obtained for the total energy is -2.05 eV/atom. The density of states at the Fermi level comes out at 29.07 states/eV/cell.

Lattice parameters (Å, degrees): 11.306 16.093 7.812 90.00 107.48 90.00
Space group C2/c (No. 15)
Unique sites:
Ba 0.108 0.168 0.051 (multiplicity 8)
Ba 0.238 0.402 0.382 (multiplicity 8)
Sr 0.000 0.393 0.750 (multiplicity 4)
Tl 0.000 0.001 0.750 (multiplicity 4)

---

Record 7
Material: BaSr2Tl9
Method: DFT, PBE-GGA
State: relaxed

Values from the calculation:
The formation energy comes out at -3.013 eV per formula unit. Its magnetic moment is 0.00 μB/cell. The value obtained for the total energy is -2.47 eV/atom. The density of states at the Fermi level comes out at 10.24 states/eV/cell.

Lattice parameters (Å, degrees): 5.049 5.049 15.116 90.00 90.00 90.00
Space group P4/mmm (No. 123)
Unique sites:
Ba 0.000 0.000 0.000 (multiplicity 1)
Sr 0.000 0.000 0.338 (multiplicity 2)
Tl 0.000 0.500 0.172 (multiplicity 4)
Tl 0.000 0.500 0.500 (multiplicity 2)
Tl 0.500 0.500 0.000 (multiplicity 1)
Tl 0.500 0.500 0.331 (multiplicity 2)

---

Record 8
Material: Ba2Sr6Tl
Method: DFT, PBE-GGA
State: relaxed

Values from the calculation:
The formation energy comes out at -0.219 eV per formula unit. Its magnetic moment is 0.00 μB/cell. The value obtained for the total energy is -1.84 eV/atom. The density of states at the Fermi level comes out at 22.72 states/eV/cell.

Lattice parameters (Å, degrees): 18.717 12.283 4.228 90.00 103.03 90.00
Space group C2/m (No. 12)
Unique sites:
Ba 0.130 0.000 0.133 (multiplicity 4)
Sr 0.000 0.264 0.500 (multiplicity 4)
Sr 0.178 0.346 0.177 (multiplicity 8)
Tl 0.000 0.500 0.000 (multiplicity 2)

---

What did the second record say?
Material: BaSr3Tl
Method: DFT, PBE-GGA
State: relaxed

Values from the calculation:
The formation energy comes out at 3.702 eV per formula unit. Its magnetic moment is 3.00 μB/cell. The value obtained for the total energy is -1.13 eV/atom. The density of states at the Fermi level comes out at 3.24 states/eV/cell.

Lattice parameters (Å, degrees): 6.706 6.706 6.706 90.00 90.00 90.00
Space group Pm-3m (No. 221)
Unique sites:
Ba 0.000 0.000 0.000 (multiplicity 1)
Sr 0.000 0.000 0.500 (multiplicity 3)
Tl 0.500 0.500 0.500 (multiplicity 1)